#A
Density functional theory data (PBE) for an optimized crystal structure of Cr3C2.

Properties
**Space group**: Cmcm, No. 63

a b c (Å): 4.825 4.825 6.921
angles (deg): 90.00 90.00 146.13
Atoms (fractional coordinates):
Cr: 0.100 0.900 0.750
Cr: 0.357 0.643 0.570
Cr: 0.357 0.643 0.930
Cr: 0.643 0.357 0.070
Cr: 0.643 0.357 0.430
Cr: 0.900 0.100 0.250
C: 0.000 0.000 0.000
C: 0.000 0.000 0.500
C: 0.252 0.748 0.250
C: 0.748 0.252 0.750

#B
Density functional theory data (PBE) for an optimized crystal structure of Cr3C2.

Properties
**Space group**: Fdd2, No. 43

a b c (Å): 5.242 4.884 6.247
angles (deg): 54.55 49.36 76.09
Atoms (fractional coordinates):
Cr: 0.000 0.000 0.000
Cr: 0.226 0.627 0.699
Cr: 0.250 0.250 0.250
Cr: 0.551 0.803 0.024
Cr: 0.627 0.226 0.447
Cr: 0.803 0.551 0.623
C: 0.228 0.403 0.499
C: 0.379 0.751 0.847
C: 0.403 0.228 0.871
C: 0.751 0.379 0.022

What are the relative energies? In eV/atom: #A 0.000; #B 0.330.

#A
Density functional theory data (PBE) for an optimized crystal structure of Cr3C2.

Properties
**Space group**: P-3m1, No. 164

a b c (Å): 3.197 3.197 5.421
angles (deg): 90.00 90.00 120.00
Atoms (fractional coordinates):
Cr: 0.000 0.000 0.000
Cr: 0.333 0.667 0.357
Cr: 0.667 0.333 0.643
C: 0.333 0.667 0.762
C: 0.667 0.333 0.238

#B
Density functional theory data (PBE) for an optimized crystal structure of Cr3C2.

Properties
**Space group**: Pnma, No. 62

a b c (Å): 5.485 2.794 11.478
angles (deg): 90.00 90.00 90.00
Atoms (fractional coordinates):
Cr: 0.016 0.250 0.097
Cr: 0.132 0.750 0.432
Cr: 0.186 0.250 0.726
Cr: 0.314 0.750 0.226
Cr: 0.368 0.250 0.932
Cr: 0.484 0.750 0.597
Cr: 0.516 0.250 0.403
Cr: 0.632 0.750 0.068
Cr: 0.686 0.250 0.774
Cr: 0.814 0.750 0.274
Cr: 0.868 0.250 0.568
Cr: 0.984 0.750 0.903
C: 0.099 0.250 0.297
C: 0.239 0.250 0.548
C: 0.261 0.750 0.048
C: 0.401 0.750 0.797
C: 0.599 0.250 0.203
C: 0.739 0.250 0.952
C: 0.761 0.750 0.452
C: 0.901 0.750 0.703

What are the relative energies? In eV/atom: #A 0.235; #B 0.000.

#A
Density functional theory data (PBE) for an optimized crystal structure of CrC4.

Properties
**Space group**: Im-3m, No. 229

a b c (Å): 3.845 3.845 3.845
angles (deg): 109.47 109.47 109.47
Atoms (fractional coordinates):
Cr: 0.000 0.000 0.000
C: 0.000 0.000 0.500
C: 0.000 0.500 0.000
C: 0.500 0.000 0.000
C: 0.500 0.500 0.500

#B
Density functional theory data (PBE) for an optimized crystal structure of CrC4.

Properties
**Space group**: P-3m1, No. 164

a b c (Å): 2.584 2.584 6.170
angles (deg): 90.00 90.00 120.00
Atoms (fractional coordinates):
Cr: 0.000 0.000 0.000
C: 0.333 0.667 0.217
C: 0.333 0.667 0.456
C: 0.667 0.333 0.544
C: 0.667 0.333 0.783

#C
Density functional theory data (PBE) for an optimized crystal structure of CrC4.

Properties
**Space group**: I4/mmm, No. 139

a b c (Å): 4.540 4.540 4.540
angles (deg): 94.48 94.48 147.54
Atoms (fractional coordinates):
Cr: 0.000 0.000 0.000
C: 0.279 0.279 0.559
C: 0.279 0.721 0.000
C: 0.721 0.279 0.000
C: 0.721 0.721 0.441

#D
Density functional theory data (PBE) for an optimized crystal structure of CrC4.

Properties
**Space group**: Pm-3m, No. 221

a b c (Å): 3.792 3.792 3.792
angles (deg): 90.00 90.00 90.00
Atoms (fractional coordinates):
Cr: 0.000 0.000 0.000
C: 0.000 0.000 0.500
C: 0.000 0.500 0.000
C: 0.500 0.000 0.000
C: 0.500 0.500 0.500

What are the relative energies? In eV/atom: #A 1.916; #B 0.000; #C 0.407; #D 2.587.

#A
Density functional theory data (PBE) for an optimized crystal structure of Cr2CuC2.

Properties
**Space group**: I4/mmm, No. 139

a b c (Å): 4.666 4.666 4.666
angles (deg): 137.25 137.25 62.05
Atoms (fractional coordinates):
Cr: 0.250 0.750 0.500
Cr: 0.750 0.250 0.500
Cu: 0.000 0.000 0.000
C: 0.405 0.405 0.000
C: 0.595 0.595 0.000

#B
Density functional theory data (PBE) for an optimized crystal structure of Cr2CuC2.

Properties
**Space group**: P4/mbm, No. 127

a b c (Å): 5.690 5.690 2.677
angles (deg): 90.00 90.00 90.00
Atoms (fractional coordinates):
Cr: 0.144 0.356 0.000
Cr: 0.356 0.856 0.000
Cr: 0.644 0.144 0.000
Cr: 0.856 0.644 0.000
Cu: 0.000 0.000 0.500
Cu: 0.500 0.500 0.500
C: 0.147 0.647 0.500
C: 0.353 0.147 0.500
C: 0.647 0.853 0.500
C: 0.853 0.353 0.500

What are the relative energies? In eV/atom: #A 0.035; #B 0.000.